No. 1
! SrCa2Mg2Ga2 (GGA-PBE, relaxed); values from VASP
&SYSTEM
  ibrav = 0, nat = 7, ntyp = 4
/
ATOMIC_SPECIES
Ca 40.08 Ca.upf
Ga 69.72 Ga.upf
Mg 24.30 Mg.upf
Sr 87.62 Sr.upf
ATOMIC_POSITIONS crystal
Ca 0.8692 0.8692 0.3925
Ca 0.1308 0.1308 0.6075
Ga 0.7490 0.7490 0.7531
Ga 0.2510 0.2510 0.2469
Mg 0.5915 0.5915 0.2254
Mg 0.4085 0.4085 0.7746
Sr 0.0000 0.0000 0.0000
CELL_PARAMETERS angstrom
4.8932 0.0000 0.0000
2.4466 4.2377 0.0000
2.4466 1.4126 9.6810
! total energy	-0.1765	Ry per atom
! formation energy	-0.27	eV/atom

No. 2
! CaTbMgGa (GGA-PBE, relaxed); values from VASP
&SYSTEM
  ibrav = 0, nat = 4, ntyp = 4
/
ATOMIC_SPECIES
Mg 24.30 Mg.upf
Tb 158.93 Tb.upf
Ga 69.72 Ga.upf
Ca 40.08 Ca.upf
ATOMIC_POSITIONS crystal
Mg 0.7500 0.7500 0.7500
Tb 0.0000 0.0000 0.0000
Ga 0.2500 0.2500 0.2500
Ca 0.5000 0.5000 0.5000
CELL_PARAMETERS angstrom
5.2568 0.0000 0.0000
2.6284 4.5525 0.0000
2.6284 1.5175 4.2921
! total energy	-0.2283	Ry per atom
! formation energy	-0.29	eV/atom

No. 3
! CaThMgGa (GGA-PBE, relaxed); values from VASP
&SYSTEM
  ibrav = 0, nat = 4, ntyp = 4
/
ATOMIC_SPECIES
Ga 69.72 Ga.upf
Mg 24.30 Mg.upf
Th 232.04 Th.upf
Ca 40.08 Ca.upf
ATOMIC_POSITIONS crystal
Ga 0.2500 0.2500 0.2500
Mg 0.7500 0.7500 0.7500
Th 0.0000 0.0000 0.0000
Ca 0.5000 0.5000 0.5000
CELL_PARAMETERS angstrom
5.3138 0.0000 0.0000
2.6569 4.6019 0.0000
2.6569 1.5340 4.3387
! total energy	-0.2689	Ry per atom
! formation energy	-0.15	eV/atom

Q: total energy of number 1 (SrCa2Mg2Ga2)?
A: -0.1765 Ry per atom

What did the second record say?
! CaTbMgGa (GGA-PBE, relaxed); values from VASP
&SYSTEM
  ibrav = 0, nat = 4, ntyp = 4
/
ATOMIC_SPECIES
Mg 24.30 Mg.upf
Tb 158.93 Tb.upf
Ga 69.72 Ga.upf
Ca 40.08 Ca.upf
ATOMIC_POSITIONS crystal
Mg 0.7500 0.7500 0.7500
Tb 0.0000 0.0000 0.0000
Ga 0.2500 0.2500 0.2500
Ca 0.5000 0.5000 0.5000
CELL_PARAMETERS angstrom
5.2568 0.0000 0.0000
2.6284 4.5525 0.0000
2.6284 1.5175 4.2921
! total energy	-0.2283	Ry per atom
! formation energy	-0.29	eV/atom